Record 1
# NbRh3S

NbRh3S at its PBEsol-relaxed geometry (SCAN, Alexandria).

a = 4.6479 Å, b = 4.6479 Å, c = 4.6479 Å
α = 90.00°, β = 90.00°, γ = 90.00°
Last column: nearest neighbours and their distance in Å.
Sites, in units of the cell vectors:
1 Rh 0.0000 0.0000 0.5000  2 Nb 2.32
2 Rh 0.5000 0.0000 0.0000  2 Nb 2.32
3 Rh 0.0000 0.5000 0.0000  2 Nb 2.32
4 Nb 0.0000 0.0000 0.0000  6 Rh 2.32
5 S 0.5000 0.5000 0.5000  12 Rh 3.29

As for the total magnetic moment: 0.00 μB per cell. Its space group is No. 221. The total energy is -27.4408 eV per atom. For the uncorrected formation energy, the calculation gives 1.374 eV/atom.


Record 2
# LaRh

LaRh at its PBEsol-relaxed geometry (SCAN, Alexandria).

a = 4.3609 Å, b = 4.3609 Å, c = 5.7774 Å
α = 90.00°, β = 90.00°, γ = 120.00°
Last column: nearest neighbours and their distance in Å.
Sites, in units of the cell vectors:
1 Rh 0.0000 0.0000 0.0000  2 Rh 2.89, 6 La 2.90
2 Rh 0.0000 0.0000 0.5000  2 Rh 2.89, 6 La 2.90
3 La 0.6667 0.3333 0.7500  6 Rh 2.90
4 La 0.3333 0.6667 0.2500  6 Rh 2.90

As for the total magnetic moment: 0.00 μB per cell. Its space group is No. 194. The total energy is -39.2949 eV per atom. The value obtained for the formation enthalpy at 0 K is -0.86 eV per atom.